(1)
First-principles (PBE-GGA) data for a relaxed structure of CsPdAu, as listed in the Open Quantum Materials Database.

Cell: 5.277 5.277 5.277 Å, 60.00 60.00 60.00°
Atoms (fractional coordinates):
Au (0.250, 0.250, 0.250)
Cs (0.000, 0.000, 0.000)
Pd (0.750, 0.750, 0.750)

Its electronic total energy is -7.11 eV per cell.

(2)
First-principles (PBE-GGA) data for a relaxed structure of CsPdAu, as listed in the Open Quantum Materials Database.

Cell: 5.198 5.198 5.198 Å, 60.00 60.00 60.00°
Atoms (fractional coordinates):
Au (0.000, 0.000, 0.000)
Cs (0.250, 0.250, 0.250)
Pd (0.750, 0.750, 0.750)

Its electronic total energy is -7.99 eV per cell.

(3)
First-principles (PBE-GGA) data for a relaxed structure of CsPdAuS3, as listed in the Open Quantum Materials Database.

Cell: 8.305 8.305 10.287 Å, 90.00 90.00 153.70°
Atoms (fractional coordinates):
Au (0.588, 0.412, 0.250)
Au (0.412, 0.588, 0.750)
Cs (0.278, 0.722, 0.250)
Cs (0.722, 0.278, 0.750)
Pd (0.000, 0.000, 0.000)
Pd (0.000, 0.000, 0.500)
S (0.595, 0.405, 0.024)
S (0.963, 0.037, 0.250)
S (0.595, 0.405, 0.476)
S (0.405, 0.595, 0.524)
S (0.037, 0.963, 0.750)
S (0.405, 0.595, 0.976)

Its electronic total energy is -46.71 eV per cell.

(4)
First-principles (PBE-GGA) data for a relaxed structure of CsPdAuSeS2, as listed in the Open Quantum Materials Database.

Cell: 8.699 8.699 10.423 Å, 90.00 90.00 155.59°
Atoms (fractional coordinates):
Au (0.904, 0.096, 0.250)
Au (0.096, 0.904, 0.750)
Cs (0.225, 0.775, 0.250)
Cs (0.775, 0.225, 0.750)
Pd (0.500, 0.500, 0.000)
Pd (0.500, 0.500, 0.500)
S (0.907, 0.093, 0.026)
S (0.907, 0.093, 0.474)
S (0.093, 0.907, 0.526)
S (0.093, 0.907, 0.974)
Se (0.545, 0.455, 0.250)
Se (0.455, 0.545, 0.750)

Its electronic total energy is -46.00 eV per cell.

(5)
First-principles (PBE-GGA) data for a relaxed structure of CsTe2PdAuS, as listed in the Open Quantum Materials Database.

Cell: 7.327 7.327 12.241 Å, 90.00 90.00 145.47°
Atoms (fractional coordinates):
Au (0.933, 0.067, 0.250)
Au (0.067, 0.933, 0.750)
Cs (0.216, 0.784, 0.250)
Cs (0.784, 0.216, 0.750)
Pd (0.500, 0.500, 0.000)
Pd (0.500, 0.500, 0.500)
S (0.506, 0.494, 0.250)
S (0.494, 0.506, 0.750)
Te (0.886, 0.114, 0.034)
Te (0.886, 0.114, 0.466)
Te (0.114, 0.886, 0.534)
Te (0.114, 0.886, 0.966)

Its electronic total energy is -43.00 eV per cell.

(6)
First-principles (PBE-GGA) data for a relaxed structure of CsTePdAuSe2, as listed in the Open Quantum Materials Database.

Cell: 8.968 8.968 10.968 Å, 90.00 90.00 155.37°
Atoms (fractional coordinates):
Au (0.408, 0.592, 0.250)
Au (0.592, 0.408, 0.750)
Cs (0.738, 0.262, 0.250)
Cs (0.262, 0.738, 0.750)
Pd (0.000, 0.000, 0.000)
Pd (0.000, 0.000, 0.500)
Se (0.404, 0.596, 0.024)
Se (0.404, 0.596, 0.476)
Se (0.596, 0.404, 0.524)
Se (0.596, 0.404, 0.976)
Te (0.048, 0.952, 0.250)
Te (0.952, 0.048, 0.750)

Its electronic total energy is -43.25 eV per cell.

(7)
First-principles (PBE-GGA) data for a relaxed structure of CsTe3PdAu, as listed in the Open Quantum Materials Database.

Cell: 8.732 8.732 11.421 Å, 90.00 90.00 152.59°
Atoms (fractional coordinates):
Au (0.928, 0.072, 0.250)
Au (0.072, 0.928, 0.750)
Cs (0.249, 0.751, 0.250)
Cs (0.751, 0.249, 0.750)
Pd (0.500, 0.500, 0.000)
Pd (0.500, 0.500, 0.500)
Te (0.897, 0.103, 0.020)
Te (0.545, 0.455, 0.250)
Te (0.897, 0.103, 0.480)
Te (0.103, 0.897, 0.520)
Te (0.455, 0.545, 0.750)
Te (0.103, 0.897, 0.980)

Its electronic total energy is -41.73 eV per cell.

(8)
First-principles (PBE-GGA) data for a relaxed structure of CsTe4PdAu3, as listed in the Open Quantum Materials Database.

Cell: 6.896 6.896 6.896 Å, 90.00 90.00 90.00°
Atoms (fractional coordinates):
Au (0.500, 0.500, 0.000)
Au (0.500, 0.000, 0.500)
Au (0.000, 0.500, 0.500)
Cs (0.000, 0.000, 0.000)
Pd (0.500, 0.500, 0.500)
Te (0.285, 0.285, 0.285)
Te (0.715, 0.715, 0.285)
Te (0.715, 0.285, 0.715)
Te (0.285, 0.715, 0.715)

Its electronic total energy is -29.04 eV per cell.

(9)
First-principles (PBE-GGA) data for a relaxed structure of CsPmAu, as listed in the Open Quantum Materials Database.

Cell: 5.195 5.195 5.195 Å, 60.00 60.00 60.00°
Atoms (fractional coordinates):
Au (0.250, 0.250, 0.250)
Cs (0.750, 0.750, 0.750)
Pm (0.000, 0.000, 0.000)

Its electronic total energy is -7.78 eV per cell.

(10)
First-principles (PBE-GGA) data for a relaxed structure of CsPmAu, as listed in the Open Quantum Materials Database.

Cell: 5.195 5.195 5.195 Å, 60.00 60.00 60.00°
Atoms (fractional coordinates):
Au (0.750, 0.750, 0.750)
Cs (0.000, 0.000, 0.000)
Pm (0.250, 0.250, 0.250)

Its electronic total energy is -6.81 eV per cell.

(11)
First-principles (PBE-GGA) data for a relaxed structure of CsPrTe3Au, as listed in the Open Quantum Materials Database.

Cell: 9.068 9.068 11.633 Å, 90.00 90.00 151.93°
Atoms (fractional coordinates):
Au (0.969, 0.031, 0.250)
Au (0.031, 0.969, 0.750)
Cs (0.249, 0.751, 0.250)
Cs (0.751, 0.249, 0.750)
Pr (0.500, 0.500, 0.000)
Pr (0.500, 0.500, 0.500)
Te (0.874, 0.126, 0.059)
Te (0.570, 0.430, 0.250)
Te (0.874, 0.126, 0.441)
Te (0.126, 0.874, 0.559)
Te (0.430, 0.570, 0.750)
Te (0.126, 0.874, 0.941)

Its electronic total energy is -47.99 eV per cell.

(12)
First-principles (PBE-GGA) data for a relaxed structure of CsPtAuS3, as listed in the Open Quantum Materials Database.

Cell: 8.614 8.614 9.992 Å, 90.00 90.00 155.00°
Site moments in Bohr magnetons follow the coordinates.
Atoms (fractional coordinates):
Au (0.400, 0.600, 0.250)  0.01
Au (0.600, 0.400, 0.750)  0.01
Cs (0.718, 0.282, 0.250)  0.00
Cs (0.282, 0.718, 0.750)  0.00
Pt (0.000, 0.000, 0.000)  0.03
Pt (0.000, 0.000, 0.500)  0.03
S (0.409, 0.591, 0.019)  0.00
S (0.042, 0.958, 0.250)  0.11
S (0.409, 0.591, 0.481)  0.00
S (0.591, 0.409, 0.519)  0.00
S (0.958, 0.042, 0.750)  0.11
S (0.591, 0.409, 0.981)  0.00

Its electronic total energy is -49.08 eV per cell.